! U2Co3P4Os | Alexandria | PBE | optimized geometry; values from VASP
! Energy relative to the elements in meV per atom: -772
&SYSTEM
  ibrav = 0, nat = 10, ntyp = 4
/
ATOMIC_SPECIES
U 238.03 U.upf
Co 58.93 Co.upf
P 30.97 P.upf
Os 190.23 Os.upf
CELL_PARAMETERS angstrom
3.964 0.000 0.000
0.000 3.964 0.000
0.000 0.000 9.091
ATOMIC_POSITIONS crystal
U 0.000 0.500 0.239
U 0.500 0.000 0.761
Co 0.000 0.500 0.889
Co 0.500 0.000 0.111
Co 0.500 0.500 0.500
P 0.000 0.000 0.000
P 0.000 0.500 0.643
P 0.500 0.000 0.357
P 0.500 0.500 0.000
Os 0.000 0.000 0.500